Here is a relaxed MgVRe2 crystal from the Alexandria database. Energies are from PBE-GGA.

The structure in POSCAR format:
```
MgVRe2
1.0
-0.014 -0.007 -3.839
1.727 -3.429 0.000
-7.527 -5.940 -1.882
Re Mg V
4 2 2
direct
0.679 0.125 0.250
0.071 0.625 0.250
0.375 0.321 0.750
0.875 0.929 0.750
0.500 0.500 0.000
0.250 0.750 0.500
0.000 0.000 0.000
0.750 0.250 0.500
```

## Properties
Density of states at the Fermi level in states/eV/cell: 7.70
DFT formation energy in kcal/mol of atoms: 20.50
Space-group type: I-42d, No. 122
Size of the total moment in Bohr magnetons per cell: 2.1
DFT total energy in eV/atom: -8.01